Below is a geometry-optimized AcDy2Au structure, with properties calculated at the PBE level.

Summary:
E: -4.230 eV/atom
M_tot: 0.00 μB/f.u.
formation enthalpy at 0 K: -0.082 eV/atom
E above lowest polymorph: 0.298 eV per atom

abc: 5.5081 5.5081 3.7999
angles: 90.00 90.00 90.00
Closest atoms and distances in Å follow each position.
Sites, in units of the cell vectors:
Ac1 0.0000 0.0000 0.0000  8 Dy 3.35
Dy1 0.0000 0.5000 0.5000  4 Au 3.35, 4 Ac 3.35
Dy2 0.5000 0.0000 0.5000  4 Au 3.35, 4 Ac 3.35
Au1 0.5000 0.5000 0.0000  8 Dy 3.35